Sr4ZnPb2: optimized geometry, PBE.

Cell lengths 5.7234, 5.7234, 27.9804 Å; angles 90.00, 90.00, 120.00 degrees
Space group R-3m (No. 166, hexagonal axes)
One atom of each set of equivalent atoms:
Sr  0.0000  0.0000  0.1232
Sr  0.0000  0.0000  0.3735
Zn  0.0000  0.0000  0.0000
Pb  0.0000  0.0000  0.2488

Its spin magnetization is 0.000 μB/atom. The value obtained for the formation energy is -463 meV/atom.

SrZn2Pb: optimized geometry, PBE.

Cell lengths 4.1241, 4.4065, 6.2127 Å; angles 90.00, 109.22, 90.00 degrees
Space group Pm (No. 6)
One atom of each set of equivalent atoms:
Sr  0.0000  0.0000  0.0000
Zn  0.6121  0.5000  0.2254
Zn  0.7148  0.0000  0.4393
Pb  0.3050  0.5000  0.6093

Its spin magnetization is 0.000 μB/atom. The value obtained for the formation energy is -183 meV/atom.

Sr2ZnPb: optimized geometry, PBE.

Cell lengths 3.9839, 5.4849, 11.9568 Å; angles 90.00, 90.00, 90.00 degrees
Space group Imm2 (No. 44)
One atom of each set of equivalent atoms:
Sr  0.0000  0.0000  0.0000
Sr  0.0000  0.5000  0.2093
Zn  0.0000  0.5000  0.7371
Pb  0.0000  0.0000  0.4225

Its spin magnetization is 0.000 μB/atom. The value obtained for the formation energy is -291 meV/atom.

Sr3Zn4Pb2: optimized geometry, PBE.

Cell lengths 11.7884, 4.7788, 9.4143 Å; angles 90.00, 107.89, 90.00 degrees
Space group C2/m (No. 12)
One atom of each set of equivalent atoms:
Sr  0.0000  0.0000  0.0000
Sr  0.1697  0.5000  0.6673
Zn  0.0515  0.0000  0.3989
Zn  0.2235  0.5000  0.0396
Pb  0.1050  0.5000  0.2701

Its spin magnetization is 0.000 μB/atom. The value obtained for the formation energy is -343 meV/atom.

Sr3ZnPb2: optimized geometry, PBE.

Cell lengths 13.3576, 4.7853, 13.3131 Å; angles 90.00, 90.00, 90.00 degrees
Space group Pnma (No. 62)
One atom of each set of equivalent atoms:
Sr  0.0563  0.2500  0.1230
Sr  0.1220  0.7500  0.5578
Sr  0.2115  0.2500  0.8023
Zn  0.1295  0.2500  0.3717
Pb  0.0237  0.7500  0.3137
Pb  0.1935  0.7500  0.9935

Its spin magnetization is 0.032 μB/atom. The value obtained for the formation energy is -467 meV/atom.

SrZr2Pb: optimized geometry, PBE.

Cell lengths 3.3758, 3.3758, 33.8559 Å; angles 90.00, 90.00, 120.00 degrees
Space group R-3m (No. 166, hexagonal axes)
One atom of each set of equivalent atoms:
Sr  0.0000  0.0000  0.0000
Zr  0.0000  0.0000  0.2422
Pb  0.0000  0.0000  0.5000

Its spin magnetization is 0.000 μB/atom. The value obtained for the formation energy is 317 meV/atom.

SrZr2Pb: optimized geometry, PBE.

Cell lengths 3.5057, 5.6579, 11.3125 Å; angles 90.00, 90.00, 90.00 degrees
Space group Cmmm (No. 65)
One atom of each set of equivalent atoms:
Sr  0.0000  0.0000  0.0000
Zr  0.0000  0.5000  0.2752
Pb  0.0000  0.0000  0.5000

Its spin magnetization is 0.000 μB/atom. The value obtained for the formation energy is 316 meV/atom.

Sr2ZrPb2: optimized geometry, PBE.

Cell lengths 8.0224, 8.0224, 5.1780 Å; angles 90.00, 90.00, 90.00 degrees
Space group P4/mbm (No. 127)
One atom of each set of equivalent atoms:
Sr  0.1694  0.3306  0.0000
Zr  0.0000  0.0000  0.5000
Pb  0.1411  0.6411  0.5000

Its spin magnetization is 0.000 μB/atom. The value obtained for the formation energy is -216 meV/atom.

SrZr2Pb: optimized geometry, PBE.

Cell lengths 4.7112, 4.7112, 4.7796 Å; angles 90.00, 90.00, 90.00 degrees
Space group P4/mmm (No. 123)
One atom of each set of equivalent atoms:
Sr  0.0000  0.0000  0.0000
Zr  0.0000  0.5000  0.5000
Pb  0.5000  0.5000  0.0000

Its spin magnetization is 0.002 μB/atom. The value obtained for the formation energy is 210 meV/atom.

SrZr2Pb: optimized geometry, PBE.

Cell lengths 3.9311, 3.9311, 7.5852 Å; angles 90.00, 90.00, 90.00 degrees
Space group P4/mmm (No. 123)
One atom of each set of equivalent atoms:
Sr  0.0000  0.0000  0.0000
Zr  0.5000  0.5000  0.3167
Pb  0.0000  0.0000  0.5000

Its spin magnetization is 0.518 μB/atom. The value obtained for the formation energy is 237 meV/atom.

SrZrPb3: optimized geometry, PBE.

Cell lengths 5.6867, 5.6867, 5.6867 Å; angles 90.00, 90.00, 90.00 degrees
Space group Pm-3m (No. 221)
One atom of each set of equivalent atoms:
Sr  0.0000  0.0000  0.0000
Zr  0.5000  0.5000  0.5000
Pb  0.0000  0.5000  0.5000

The energy above the lowest structure with this stoichiometry comes out at 0 meV per atom. Its spin magnetization is 0.000 μB/atom. The value obtained for the formation energy is -68 meV/atom.

Sr2ZrPb: optimized geometry, PBE.

Cell lengths 3.7221, 5.1480, 6.8340 Å; angles 90.00, 90.24, 90.00 degrees
Space group P2/m (No. 10)
One atom of each set of equivalent atoms:
Sr  0.0005  0.0000  0.2525
Zr  0.5000  0.5000  0.0000
Pb  0.5000  0.5000  0.5000

Its spin magnetization is 0.000 μB/atom. The value obtained for the formation energy is 138 meV/atom.

SrZrPb: optimized geometry, PBE.

Cell lengths 7.4477, 7.4477, 7.4477 Å; angles 90.00, 90.00, 90.00 degrees
Space group F-43m (No. 216)
One atom of each set of equivalent atoms:
Sr  0.0000  0.0000  0.0000
Zr  0.0000  0.0000  0.5000
Pb  0.2500  0.2500  0.2500

Its spin magnetization is 0.569 μB/atom. The value obtained for the formation energy is 233 meV/atom.

SrZr2Pb: optimized geometry, PBE.

Cell lengths 3.3661, 5.6170, 5.9192 Å; angles 90.00, 95.97, 90.00 degrees
Space group P2/m (No. 10)
One atom of each set of equivalent atoms:
Sr  0.0000  0.0000  0.0000
Zr  0.3156  0.5000  0.7221
Pb  0.5000  0.0000  0.5000

Its spin magnetization is 0.000 μB/atom. The value obtained for the formation energy is 178 meV/atom.

Sr2ZrPb: optimized geometry, PBE.

Cell lengths 5.2685, 3.8145, 13.8435 Å; angles 90.00, 90.00, 90.00 degrees
Space group Amm2 (No. 38)
One atom of each set of equivalent atoms:
Sr  0.0000  0.0000  0.0000
Sr  0.5000  0.0000  0.3248
Zr  0.5000  0.0000  0.6069
Pb  0.0000  0.0000  0.7199

Its spin magnetization is 0.141 μB/atom. The value obtained for the formation energy is 80 meV/atom.

SrZr3Pb: optimized geometry, PBE.

Cell lengths 5.2141, 5.2141, 5.2141 Å; angles 90.00, 90.00, 90.00 degrees
Space group Pm-3m (No. 221)
One atom of each set of equivalent atoms:
Sr  0.0000  0.0000  0.0000
Zr  0.0000  0.0000  0.5000
Pb  0.5000  0.5000  0.5000

The energy above the lowest structure with this stoichiometry comes out at 793 meV per atom. Its spin magnetization is 0.293 μB/atom. The value obtained for the formation energy is 1664 meV/atom.

Sr2ZrPb: optimized geometry, PBE.

Cell lengths 9.2885, 9.2885, 6.5343 Å; angles 90.00, 90.00, 90.00 degrees
Space group I-42d (No. 122)
One atom of each set of equivalent atoms:
Sr  0.2308  0.2500  0.1250
Zr  0.0000  0.0000  0.5000
Pb  0.0000  0.0000  0.0000

Its spin magnetization is 0.471 μB/atom. The value obtained for the formation energy is 420 meV/atom.

SrZrPb: optimized geometry, PBE.

Cell lengths 4.0270, 4.0270, 11.7628 Å; angles 90.00, 90.00, 90.00 degrees
Space group I4mm (No. 107)
One atom of each set of equivalent atoms:
Sr  0.0000  0.0000  0.0000
Zr  0.0000  0.0000  0.7094
Pb  0.0000  0.0000  0.2995

Its spin magnetization is 0.670 μB/atom. The value obtained for the formation energy is 53 meV/atom.

Sr2ZrPb: optimized geometry, PBE.

Cell lengths 5.9483, 5.9483, 3.9112 Å; angles 90.00, 90.00, 90.00 degrees
Space group P4/mmm (No. 123)
One atom of each set of equivalent atoms:
Sr  0.0000  0.5000  0.0000
Zr  0.0000  0.0000  0.5000
Pb  0.5000  0.5000  0.5000

Its spin magnetization is 0.698 μB/atom. The value obtained for the formation energy is 221 meV/atom.

Sr2ZrPb: optimized geometry, PBE.

Cell lengths 5.0721, 5.0721, 10.1095 Å; angles 90.00, 90.00, 90.00 degrees
Space group I-4m2 (No. 119)
One atom of each set of equivalent atoms:
Sr  0.0000  0.0000  0.0000
Sr  0.0000  0.5000  0.2500
Zr  0.0000  0.5000  0.7500
Pb  0.0000  0.0000  0.5000

Its spin magnetization is 0.469 μB/atom. The value obtained for the formation energy is 173 meV/atom.